DFT (PBE) results for a geometry-optimized CePuNi4 structure. Values from VASP.

- energy of formation from the pure elements (meV/atom) = -353
- DOS(E_F) (states/eV/f.u.) = 14.85

The structure in Quantum ESPRESSO input format:
```
&SYSTEM
  ibrav = 0, nat = 6, ntyp = 3
/
ATOMIC_SPECIES
Ce 140.12 Ce.upf
Pu 244.00 Pu.upf
Ni 58.69 Ni.upf
CELL_PARAMETERS angstrom
0.000 3.578 3.578
3.578 0.000 3.578
3.578 3.578 0.000
ATOMIC_POSITIONS crystal
Ce 0.000 0.000 0.000
Pu 0.250 0.250 0.250
Ni 0.127 0.624 0.624
Ni 0.624 0.127 0.624
Ni 0.624 0.624 0.127
Ni 0.624 0.624 0.624
```